First-principles (PBE) data for a relaxed structure of NaSNF2, as listed in Alexandria.

Cell: 4.112 4.112 4.592 Å, 90.00 90.00 90.00°
Site moments in Bohr magnetons follow the coordinates.
Atoms (fractional coordinates):
F 0.000 0.500 0.000  0.03
F 0.500 0.000 0.000  0.03
N 0.000 0.000 0.500  1.63
Na 0.000 0.000 0.000  0.01
S 0.500 0.500 0.500  -0.34

Polymorph energy (0 for the lowest one) in meV per atom: 1183
Energy relative to the elements, uncorrected in meV/atom: 480
Calculated density in g/cm3: 2.3
V in Å³/f.u.: 78
E_tot in eV/atom: -3.0231



First-principles (PBE) data for a relaxed structure of NaScNF2, as listed in Alexandria.

Cell: 3.813 3.813 4.398 Å, 90.00 90.00 90.00°
Site moments in Bohr magnetons follow the coordinates.
Atoms (fractional coordinates):
F 0.500 0.000 0.000  0.04
F 0.000 0.500 0.000  0.04
N 0.000 0.000 0.500  0.68
Na 0.000 0.000 0.000  0.02
Sc 0.500 0.500 0.500  -0.09

Polymorph energy (0 for the lowest one) in meV per atom: 889
Energy relative to the elements, uncorrected in meV/atom: -1181
Calculated density in g/cm3: 3.1
V in Å³/f.u.: 64
E_tot in eV/atom: -5.1247